(1)
{"formula": "KCdAsO", "functional": "PBE-GGA", "state": "relaxed", "e_above_lowest_polymorph_mev_per_atom": 12, "lattice": [[3.507, 0.000, 0.000], [0.000, 8.208, 0.000], [0.000, 0.000, 5.981]], "species": ["K", "K", "Cd", "Cd", "As", "As", "O", "O"], "fractional_positions": [[0.000, 0.158, 0.000], [0.000, 0.842, 0.500], [0.500, 0.190, 0.495], [0.500, 0.810, 0.995], [0.000, 0.450, 0.482], [0.000, 0.550, 0.982], [0.500, 0.004, 0.749], [0.500, 0.996, 0.249]]}

***

(2)
{"formula": "K4CdAsP", "functional": "PBE-GGA", "state": "relaxed", "e_tot_ev_per_cell": -18.1, "lattice": [[2.869, 1.656, 9.213], [-2.869, 1.656, 9.213], [0.000, -3.313, 9.213]], "species": ["K", "K", "K", "K", "Cd", "As", "P"], "fractional_positions": [[0.000, 0.000, 0.000], [0.183, 0.183, 0.183], [0.397, 0.397, 0.397], [0.584, 0.584, 0.584], [0.789, 0.789, 0.789], [0.880, 0.880, 0.880], [0.701, 0.701, 0.701]]}

***

(3)
{"formula": "KZn2Cd2AsP2", "functional": "PBE-GGA", "state": "relaxed", "e_above_lowest_polymorph_mev_per_atom": 37, "lattice": [[2.179, 1.258, 11.452], [-2.179, 1.258, 11.452], [0.000, -2.517, 11.452]], "species": ["K", "Zn", "Zn", "Cd", "Cd", "As", "P", "P"], "fractional_positions": [[0.000, 0.000, 0.000], [0.198, 0.198, 0.198], [0.802, 0.802, 0.802], [0.413, 0.413, 0.413], [0.587, 0.587, 0.587], [0.500, 0.500, 0.500], [0.267, 0.267, 0.267], [0.733, 0.733, 0.733]]}

***

(4)
{"formula": "KZn2Cd2AsP2", "functional": "PBE-GGA", "state": "relaxed", "e_above_lowest_polymorph_mev_per_atom": 0, "lattice": [[2.079, 1.200, 12.507], [-2.079, 1.200, 12.507], [0.000, -2.401, 12.507]], "species": ["K", "Zn", "Zn", "Cd", "Cd", "As", "P", "P"], "fractional_positions": [[0.000, 0.000, 0.000], [0.403, 0.403, 0.403], [0.597, 0.597, 0.597], [0.202, 0.202, 0.202], [0.798, 0.798, 0.798], [0.500, 0.500, 0.500], [0.271, 0.271, 0.271], [0.729, 0.729, 0.729]]}

***

What did the first record say?
{"formula": "KCdAsO", "functional": "PBE-GGA", "state": "relaxed", "e_above_lowest_polymorph_mev_per_atom": 12, "lattice": [[3.507, 0.000, 0.000], [0.000, 8.208, 0.000], [0.000, 0.000, 5.981]], "species": ["K", "K", "Cd", "Cd", "As", "As", "O", "O"], "fractional_positions": [[0.000, 0.158, 0.000], [0.000, 0.842, 0.500], [0.500, 0.190, 0.495], [0.500, 0.810, 0.995], [0.000, 0.450, 0.482], [0.000, 0.550, 0.982], [0.500, 0.004, 0.749], [0.500, 0.996, 0.249]]}